A geometry-optimized PrNd2Ag4 structure. Source: the Alexandria database, functional PBE.

Cell: 5.5147 5.5147 7.5255 Å, 111.49 111.49 90.00°
Closest atoms and distances in Å follow each position.
Positions (direct):
Nd 0.7209 0.7209 0.4417  4 Ag 3.05
Ag 0.1201 0.6201 0.2402  2 Nd 3.05, 2 Ag 3.09-3.34, 2 Pr 3.16
Ag 0.8799 0.3799 0.7598  2 Nd 3.05, 2 Ag 3.09-3.34, 2 Pr 3.16
Nd 0.2791 0.2791 0.5583  4 Ag 3.05
Ag 0.6201 0.1201 0.2402  2 Nd 3.05, 2 Ag 3.09-3.34, 2 Pr 3.16
Pr 0.0000 0.0000 0.0000  8 Ag 3.16
Ag 0.3799 0.8799 0.7598  2 Nd 3.05, 2 Ag 3.09-3.34, 2 Pr 3.16

Values from the calculation:
Crystal system: tetragonal
Total magnetization, μB per cell: 0.00
DFT formation energy, eV per atom: -0.079
Space group: I4/mmm, No. 139
DOS(E_F), states/eV/cell: 6.413
Calculated density, g/cm3: 7.30
Total DFT energy (no corrections), eV/atom: -3.75